Below is KAgOs2 after structural relaxation, with properties calculated at the PBE-GGA level.

The value obtained for the formation energy is 4.7 eV per formula unit. As for the symmetry: C2/m (12). The calculation puts the calculated volume at 72 Å³/cell. The distance to the lowest polymorph of the same formula comes out at 0.546 eV/atom.

a = 6.1033 Å, b = 6.1033 Å, c = 2.6917 Å
α = 78.06°, β = 78.06°, γ = 126.33°
With the nearest neighbours (Å) after each atom.
Fractional coordinates of all 4 atoms:
1 Ag 0.5000 0.0000 0.5000  2 Ag 2.69, 4 K 2.76-2.84
2 K 0.0000 0.5000 0.5000  2 K 2.69, 4 Ag 2.76-2.84
3 Os 0.0000 0.0000 0.0000  6 Os 2.69-2.84
4 Os 0.5000 0.5000 0.0000  6 Os 2.69-2.84